A plane-wave DFT calculation with PBE was carried out for a relaxed structure of SrTi2In2.

Computed properties:
Energy above the lowest structure with this stoichiometry ... 0 kJ/mol of formula units
Total DFT energy (no corrections) ... -4.651 eV per atom
Crystal system ... tetragonal
Formation energy from the elements ... -62 meV per atom

Lattice parameters (Å, degrees): 8.689 8.689 3.103 90.00 90.00 90.00
Space group P4/mbm (No. 127)
Asymmetric unit:
Sr  0.000  0.000  0.000
Ti  0.111  0.389  0.000
In  0.180  0.680  0.500